Compound: Na4Ni3SeO8
Source: the Alexandria database
Functional: GGA+U
Structure: relaxed

POSCAR file:
```
Na4Ni3SeO8
1.0
6.108 0.000 0.000
0.000 6.370 0.178
-3.054 -3.048 4.324
O Na Se Ni
8 4 1 3
Cartesian
3.054 3.021 2.131
1.344 1.885 0.122
1.710 1.436 4.380
0.000 3.143 1.958
-1.710 1.436 4.380
0.000 0.301 2.371
4.764 1.885 0.122
3.054 0.179 2.544
3.054 0.000 0.000
1.527 -1.524 2.162
-1.527 -1.524 2.162
0.000 0.000 0.000
0.000 3.185 0.089
1.527 1.661 2.251
-1.527 1.661 2.251
3.054 3.185 0.089
```

V	10.723	Å³/atom
M_tot	6.00	μB per formula unit
uncorrected energy	-0.17270	hartree per atom
calculated density	4.6	Mg/m³
symmetry	R-3m, No. 166
crystal system	trigonal